CsSb4Au5: relaxed, PBE.

**ΔE_f (raw)**: -22.1 meV per atom
**Magnetic moment**: 0.0 Bohr magnetons per cell
**DFT total energy**: -34.0 eV per formula unit

Lattice parameters (Å, degrees): 4.4539 11.1529 11.1535 90.01 90.00 90.00
With the nearest neighbours (Å) after each atom.
Element x y z (fractional)
Sb1 0.5006 0.4992 0.2213  3 Au 2.75-2.82
Sb2 0.5008 0.7213 0.0007  3 Au 2.75-2.82
Sb3 0.4992 0.7787 0.4993  3 Au 2.75-2.82
Sb4 0.4992 0.2213 0.5007  3 Au 2.75-2.82
Sb5 0.4994 0.0008 0.2787  3 Au 2.75-2.82
Sb6 0.5006 0.5008 0.7787  3 Au 2.75-2.82
Sb7 0.5008 0.2787 0.9993  3 Au 2.75-2.82
Sb8 0.4994 0.9992 0.7213  3 Au 2.75-2.82
Au1 0.0411 0.8361 0.3352  2 Au 2.73-2.86, 2 Sb 2.82
Au2 0.9589 0.3361 0.8352  2 Au 2.73-2.86, 2 Sb 2.82
Au3 0.0409 0.1648 0.3361  2 Au 2.73-2.86, 2 Sb 2.82
Au4 0.7719 0.0000 0.5000  4 Sb 2.75, 4 Au 2.86
Au5 0.0409 0.8352 0.6639  2 Au 2.73-2.86, 2 Sb 2.82
Au6 0.0411 0.1639 0.6648  2 Au 2.73-2.86, 2 Sb 2.82
Au7 0.9591 0.3352 0.1639  2 Au 2.73-2.86, 2 Sb 2.82
Au8 0.9589 0.6639 0.1648  2 Au 2.73-2.86, 2 Sb 2.82
Au9 0.2281 0.5000 0.0000  4 Sb 2.75, 4 Au 2.86
Au10 0.9591 0.6648 0.8361  2 Au 2.73-2.86, 2 Sb 2.82
Cs1 0.9999 0.5000 0.5000  8 Sb 3.82-3.83, 8 Au 4.17-4.18
Cs2 0.0001 0.0000 0.0000  8 Sb 3.82-3.83, 8 Au 4.17-4.18